A plane-wave DFT calculation with GGA-PBE was carried out for crystalline Pm2NiPd at its relaxed geometry.

Formation energy from the elements: -196 kJ/mol of formula units

a b c (Å): 3.5234 3.5234 7.1313
angles (deg): 90.00 90.00 90.00
Fractional coordinates of all 4 atoms:
Pm 0.0000 0.0000 0.2399
Pm 0.0000 0.0000 0.7601
Ni 0.5000 0.5000 0.0000
Pd 0.5000 0.5000 0.5000


A plane-wave DFT calculation with GGA-PBE was carried out for crystalline Pm4NiPd3 at its relaxed geometry.

Formation energy from the elements: -544 kJ/mol of formula units

a b c (Å): 3.8379 4.5832 10.7341
angles (deg): 90.00 90.00 90.00
Fractional coordinates of all 8 atoms:
Pm 0.0000 0.0000 0.0000
Pm 0.0000 0.5000 0.2674
Pm 0.5000 0.0000 0.4865
Pm 0.5000 0.5000 0.7689
Ni 0.5000 0.0000 0.2121
Pd 0.0000 0.0000 0.7167
Pd 0.0000 0.5000 0.5454
Pd 0.5000 0.5000 0.0517


A plane-wave DFT calculation with GGA-PBE was carried out for crystalline PmNi4Pd8 at its relaxed geometry.

Formation energy from the elements: -297 kJ/mol of formula units

a b c (Å): 6.7621 6.7621 6.7621
angles (deg): 97.93 97.93 136.39
Fractional coordinates of all 13 atoms:
Pm 0.0000 0.0000 0.0000
Ni 0.0000 0.0000 0.5000
Ni 0.0000 0.5000 0.0000
Ni 0.5000 0.0000 0.0000
Ni 0.5000 0.5000 0.5000
Pd 0.0000 0.3462 0.3462
Pd 0.0000 0.6538 0.6538
Pd 0.2810 0.5000 0.7810
Pd 0.3462 0.0000 0.3462
Pd 0.5000 0.2810 0.7810
Pd 0.5000 0.7190 0.2190
Pd 0.6538 0.0000 0.6538
Pd 0.7190 0.5000 0.2190


A plane-wave DFT calculation with GGA-PBE was carried out for crystalline Pm2NiPd at its relaxed geometry.

Formation energy from the elements: 74 kJ/mol of formula units

a b c (Å): 9.1828 9.1828 9.1828
angles (deg): 23.48 23.48 23.48
Fractional coordinates of all 4 atoms:
Pm 0.0950 0.0950 0.0950
Pm 0.9050 0.9050 0.9050
Ni 0.0000 0.0000 0.0000
Pd 0.5000 0.5000 0.5000